## NiHI (PBE)

Data for an optimized crystal structure of NiHI.

Summary:
magnetic moment: 0.00 μB/f.u.
crystal system: orthorhombic
symmetry: No. 62

Cell lengths 7.6660, 3.2999, 7.2083 Å; angles 90.00, 90.00, 90.00 degrees
With the nearest neighbours (Å) after each atom.
Positions (direct):
Ni: 0.2443 0.2500 0.0038  2 H 1.68
Ni: 0.2557 0.7500 0.5038  2 H 1.68
Ni: 0.7443 0.2500 0.4962  2 H 1.68
Ni: 0.7557 0.7500 0.9962  2 H 1.68
H: 0.2475 0.2500 0.4581  2 Ni 1.68
H: 0.2525 0.7500 0.9581  2 Ni 1.68
H: 0.7475 0.2500 0.0419  2 Ni 1.68
H: 0.7525 0.7500 0.5419  2 Ni 1.68
I: 0.0088 0.7500 0.2485  2 Ni 2.64-2.66, 4 H 2.81-2.89
I: 0.4912 0.2500 0.7485  2 Ni 2.64-2.66, 4 H 2.81-2.89
I: 0.5088 0.7500 0.2515  2 Ni 2.64-2.66, 4 H 2.81-2.89
I: 0.9912 0.2500 0.7515  2 Ni 2.64-2.66, 4 H 2.81-2.89

## NiH3I (PBE)

Data for an optimized crystal structure of NiH3I.

Summary:
magnetic moment: 1.11 μB/f.u.
crystal system: cubic
symmetry: No. 221

Cell lengths 4.0232, 4.0232, 4.0232 Å; angles 90.00, 90.00, 90.00 degrees
With the nearest neighbours (Å) after each atom.
Positions (direct):
Ni: 0.0000 0.0000 0.0000  12 H 2.84
H: 0.0000 0.5000 0.5000  2 I 2.01
H: 0.5000 0.0000 0.5000  2 I 2.01
H: 0.5000 0.5000 0.0000  2 I 2.01
I: 0.5000 0.5000 0.5000  6 H 2.01

## NiHI3 (PBE)

Data for an optimized crystal structure of NiHI3.

Summary:
magnetic moment: 0.70 μB/f.u.
crystal system: monoclinic
symmetry: No. 12

Cell lengths 6.9115, 6.9115, 11.9443 Å; angles 105.98, 105.98, 43.45 degrees
With the nearest neighbours (Å) after each atom.
Positions (direct):
Ni: 0.1288 0.1288 0.4766  5 I 2.53-2.67
Ni: 0.8712 0.8712 0.5234  5 I 2.53-2.67
H: 0.2789 0.2789 0.0831  1 I 1.63
H: 0.7211 0.7211 0.9169  1 I 1.63
I: 0.0614 0.0614 0.6660  2 Ni 2.53-2.65
I: 0.1564 0.1564 0.0973  1 H 1.63
I: 0.3363 0.3363 0.5665  3 Ni 2.56-2.67
I: 0.6637 0.6637 0.4335  3 Ni 2.56-2.67
I: 0.8436 0.8436 0.9027  1 H 1.63
I: 0.9386 0.9386 0.3340  2 Ni 2.53-2.65

## Ni2H2I (PBE)

Data for an optimized crystal structure of Ni2H2I.

Summary:
magnetic moment: 0.00 μB/f.u.
crystal system: tetragonal
symmetry: No. 139

Cell lengths 3.5035, 3.5035, 10.9990 Å; angles 90.00, 90.00, 90.00 degrees
With the nearest neighbours (Å) after each atom.
Positions (direct):
Ni: 0.0000 0.0000 0.2324  4 H 1.76
Ni: 0.0000 0.0000 0.7676  4 H 1.76
Ni: 0.5000 0.5000 0.2676  4 H 1.76
Ni: 0.5000 0.5000 0.7324  4 H 1.76
H: 0.0000 0.5000 0.2500  4 Ni 1.76
H: 0.0000 0.5000 0.7500  4 Ni 1.76
H: 0.5000 0.0000 0.2500  4 Ni 1.76
H: 0.5000 0.0000 0.7500  4 Ni 1.76
I: 0.0000 0.0000 0.0000  2 Ni 2.56
I: 0.5000 0.5000 0.5000  2 Ni 2.56

## NiH2I3 (PBE)

Data for an optimized crystal structure of NiH2I3.

Summary:
magnetic moment: 1.00 μB/f.u.
crystal system: monoclinic
symmetry: No. 15

Cell lengths 6.6358, 6.6358, 8.9821 Å; angles 92.54, 92.54, 77.72 degrees
With the nearest neighbours (Å) after each atom.
Positions (direct):
Ni: 0.0731 0.9269 0.7500  3 I 2.51-2.54
Ni: 0.9269 0.0731 0.2500  3 I 2.51-2.54
H: 0.2528 0.3724 0.8368  1 I 1.77
H: 0.3724 0.2528 0.3368  1 I 1.77
H: 0.6276 0.7472 0.6632  1 I 1.77
H: 0.7472 0.6276 0.1632  1 I 1.77
I: 0.1480 0.1971 0.9361  1 H 1.77
I: 0.1971 0.1480 0.4361  1 H 1.77
I: 0.3780 0.6220 0.7500  2 H 2.19
I: 0.6220 0.3780 0.2500  2 H 2.19
I: 0.8029 0.8520 0.5639  1 H 1.77
I: 0.8520 0.8029 0.0639  1 H 1.77

Which uncorrected energy belongs to each record? In order, -0.116, -0.075, -0.101, -0.140, -0.099 hartree per atom.